Below is a relaxed structure of La5TbNdSm2, with properties calculated at the PBE level.

a b c (Å): 10.0486 10.0486 10.0486
angles (deg): 125.72 125.72 80.35
Fractional coordinates of all 18 atoms:
1 La 0.0000 0.0000 0.0000
2 La 0.0669 0.5669 0.9117
3 La 0.1552 0.0669 0.5000
4 La 0.3448 0.8448 0.9117
5 La 0.4331 0.3448 0.5000
6 La 0.5000 0.5000 0.0000
7 La 0.5669 0.6552 0.5000
8 La 0.6552 0.1552 0.0883
9 La 0.8448 0.9331 0.5000
10 La 0.9331 0.4331 0.0883
11 Tb 0.2500 0.7500 0.5000
12 Tb 0.7500 0.2500 0.5000
13 Nd 0.2500 0.2500 0.0000
14 Nd 0.7500 0.7500 0.0000
15 Sm 0.1139 0.3861 0.5000
16 Sm 0.3861 0.8861 0.2722
17 Sm 0.6139 0.1139 0.7278
18 Sm 0.8861 0.6139 0.5000

Properties
symmetry = I4/mcm
total magnetization = 0.0 μB/f.u.
E_form = 266.0 meV/atom
final energy = -4.5644 eV per atom

---

Below is a relaxed structure of NbAgRu2Au, with properties calculated at the PBE level.

a b c (Å): 4.7764 4.7764 4.8070
angles (deg): 90.00 90.00 90.00
Fractional coordinates of all 5 atoms:
1 Nb 0.0000 0.0000 0.0000
2 Ag 0.0000 0.0000 0.5000
3 Ru 0.0000 0.5000 0.5000
4 Ru 0.5000 0.0000 0.5000
5 Au 0.5000 0.5000 0.0000

Properties
symmetry = P4/mmm
total magnetization = 1.2 μB/f.u.
E_form = 2072.4 meV/atom
final energy = -4.8777 eV per atom

---

Below is a relaxed structure of ErTmSi, with properties calculated at the PBE level.

a b c (Å): 6.9008 6.9008 6.9008
angles (deg): 151.84 151.84 40.25
Fractional coordinates of all 3 atoms:
1 Er 0.0000 0.0000 0.0000
2 Tm 0.7217 0.7217 0.0000
3 Si 0.3602 0.3602 0.0000

Properties
symmetry = I4mm
total magnetization = 0.0 μB/f.u.
ΔE_f (raw) = -1.11 eV/f.u.
E above lowest polymorph = 54 kJ/mol of formula units
final energy = -5.1880 eV per atom

---

Below is a relaxed structure of VSn2B, with properties calculated at the PBE level.

a b c (Å): 5.8475 5.8475 5.8475
angles (deg): 103.42 103.42 122.40
Fractional coordinates of all 8 atoms:
1 V 0.0000 0.0000 0.0000
2 V 0.7500 0.2500 0.5000
3 Sn 0.1965 0.6250 0.0715
4 Sn 0.3750 0.4465 0.5715
5 Sn 0.5535 0.1250 0.9285
6 Sn 0.8750 0.8035 0.4285
7 B 0.2500 0.7500 0.5000
8 B 0.5000 0.5000 0.0000

Properties
symmetry = I-42d
total magnetization = 2.6 μB/f.u.
E_form = 720.5 meV/atom
final energy = -5.2299 eV per atom

---

Below is a relaxed structure of CeDy5Er4, with properties calculated at the PBE level.

a b c (Å): 8.9605 8.9605 10.7762
angles (deg): 106.74 106.74 22.22
Fractional coordinates of all 10 atoms:
1 Ce 0.0000 0.0000 0.0000
2 Dy 0.0000 0.0000 0.5000
3 Dy 0.2931 0.2931 0.4003
4 Dy 0.3948 0.3948 0.7145
5 Dy 0.6052 0.6052 0.2855
6 Dy 0.7069 0.7069 0.5997
7 Er 0.1965 0.1965 0.0825
8 Er 0.4062 0.4062 0.1916
9 Er 0.5938 0.5938 0.8084
10 Er 0.8035 0.8035 0.9175

Properties
symmetry = C2/m
total magnetization = 0.5 μB/f.u.
E above lowest polymorph = 0 kJ/mol of formula units
E_form = 111.0 meV/atom
final energy = -4.6086 eV per atom

---

Below is a relaxed structure of Zn2GaHg2, with properties calculated at the PBE level.

a b c (Å): 6.9955 6.9955 4.2428
angles (deg): 90.00 90.00 90.00
Fractional coordinates of all 10 atoms:
1 Zn 0.1324 0.3676 0.0000
2 Zn 0.3676 0.8676 0.0000
3 Zn 0.6324 0.1324 0.0000
4 Zn 0.8676 0.6324 0.0000
5 Ga 0.0000 0.0000 0.0000
6 Ga 0.5000 0.5000 0.0000
7 Hg 0.1752 0.6752 0.5000
8 Hg 0.3248 0.1752 0.5000
9 Hg 0.6752 0.8248 0.5000
10 Hg 0.8248 0.3248 0.5000

Properties
symmetry = P4/mbm
total magnetization = 0.0 μB/f.u.
E above lowest polymorph = 0 kJ/mol of formula units
E_form = 114.0 meV/atom
final energy = -1.1217 eV per atom

---

Below is a relaxed structure of GaAgAsAuCl, with properties calculated at the PBE level.

a b c (Å): 3.4327 3.3696 9.6139
angles (deg): 90.00 99.16 90.00
Fractional coordinates of all 5 atoms:
1 Ga 0.0000 0.0000 0.0000
2 Ag 0.2332 0.0000 0.5162
3 As 0.6731 0.5000 0.3890
4 Au 0.5500 0.5000 0.1155
5 Cl 0.8764 0.0000 0.7610

Properties
symmetry = Pm
total magnetization = 0.0 μB/f.u.
ΔE_f (raw) = -0.90 eV/f.u.
E above lowest polymorph = 0 kJ/mol of formula units
final energy = -3.3102 eV per atom

---

Below is a relaxed structure of TlIr2Pt2, with properties calculated at the PBE level.

a b c (Å): 7.1274 7.1274 3.4518
angles (deg): 90.00 90.00 90.00
Fractional coordinates of all 10 atoms:
1 Tl 0.0000 0.0000 0.0000
2 Tl 0.5000 0.5000 0.0000
3 Ir 0.1279 0.3721 0.0000
4 Ir 0.3721 0.8721 0.0000
5 Ir 0.6279 0.1279 0.0000
6 Ir 0.8721 0.6279 0.0000
7 Pt 0.1639 0.6639 0.5000
8 Pt 0.3361 0.1639 0.5000
9 Pt 0.6639 0.8361 0.5000
10 Pt 0.8361 0.3361 0.5000

Properties
symmetry = P4/mbm
total magnetization = 0.0 μB/f.u.
E above lowest polymorph = 3 kJ/mol of formula units
E_form = 352.9 meV/atom
final energy = -6.0811 eV per atom

---

Below is a relaxed structure of Sr3CdIn2, with properties calculated at the PBE level.

a b c (Å): 4.0880 4.0880 12.1292
angles (deg): 90.00 90.00 90.00
Fractional coordinates of all 6 atoms:
1 Sr 0.0000 0.0000 0.0000
2 Sr 0.0000 0.0000 0.3319
3 Sr 0.0000 0.0000 0.6681
4 Cd 0.5000 0.5000 0.5000
5 In 0.5000 0.5000 0.1639
6 In 0.5000 0.5000 0.8361

Properties
symmetry = P4/mmm
total magnetization = 0.0 μB/f.u.
E above lowest polymorph = 0 kJ/mol of formula units
E_form = -403.2 meV/atom
final energy = -2.3094 eV per atom

---

Below is a relaxed structure of TbCdAg3, with properties calculated at the PBE level.

a b c (Å): 5.0789 5.1922 8.2139
angles (deg): 72.44 89.97 89.72
Fractional coordinates of all 10 atoms:
1 Tb 0.2492 0.0892 0.1989
2 Tb 0.7508 0.9108 0.8011
3 Cd 0.2484 0.3180 0.7880
4 Cd 0.7516 0.6820 0.2120
5 Ag 0.2506 0.4764 0.4135
6 Ag 0.2505 0.8944 0.5928
7 Ag 0.2516 0.6839 0.0029
8 Ag 0.7484 0.3161 0.9971
9 Ag 0.7495 0.1056 0.4072
10 Ag 0.7494 0.5236 0.5865

Properties
symmetry = P-1
total magnetization = 0.0 μB/f.u.
E above lowest polymorph = 0 kJ/mol of formula units
E_form = -215.8 meV/atom
final energy = -3.0356 eV per atom

---

Below is a relaxed structure of MgCrNi2Te, with properties calculated at the PBE level.

a b c (Å): 4.4286 4.4286 4.8758
angles (deg): 90.00 90.00 90.00
Fractional coordinates of all 5 atoms:
1 Mg 0.0000 0.0000 0.0000
2 Cr 0.0000 0.0000 0.5000
3 Ni 0.0000 0.5000 0.0000
4 Ni 0.5000 0.0000 0.0000
5 Te 0.5000 0.5000 0.5000

Properties
symmetry = P4/mmm
total magnetization = 4.2 μB/f.u.
ΔE_f (raw) = 4.99 eV/f.u.
final energy = -4.1859 eV per atom

---

Below is a relaxed structure of BaTiGa3, with properties calculated at the PBE level.

a b c (Å): 5.7529 5.7529 5.7529
angles (deg): 90.00 90.00 90.00
Fractional coordinates of all 5 atoms:
1 Ba 0.0000 0.0000 0.0000
2 Ti 0.5000 0.5000 0.5000
3 Ga 0.0000 0.0000 0.5000
4 Ga 0.0000 0.5000 0.0000
5 Ga 0.5000 0.0000 0.0000

Properties
symmetry = Pm-3m
total magnetization = 2.3 μB/f.u.
E above lowest polymorph = 766 kJ/mol of formula units
E_form = 1389.5 meV/atom
final energy = -2.3902 eV per atom

---

Below is a relaxed structure of CaZrSe2, with properties calculated at the PBE level.

a b c (Å): 5.0460 5.0460 5.0460
angles (deg): 60.00 60.00 60.00
Fractional coordinates of all 4 atoms:
1 Ca 0.0000 0.0000 0.0000
2 Zr 0.2500 0.2500 0.2500
3 Se 0.5000 0.5000 0.5000
4 Se 0.7500 0.7500 0.7500

Properties
symmetry = F-43m
total magnetization = 1.9 μB/f.u.
ΔE_f (raw) = -0.76 eV/f.u.
E above lowest polymorph = 501 kJ/mol of formula units
final energy = -4.5707 eV per atom

---

Below is a relaxed structure of Zr3AlSn, with properties calculated at the PBE level.

a b c (Å): 6.9257 6.9257 5.4618
angles (deg): 90.00 90.00 120.00
Fractional coordinates of all 10 atoms:
1 Zr 0.1896 0.3792 0.2500
2 Zr 0.1896 0.8104 0.2500
3 Zr 0.3792 0.1896 0.7500
4 Zr 0.6208 0.8104 0.2500
5 Zr 0.8104 0.1896 0.7500
6 Zr 0.8104 0.6208 0.7500
7 Al 0.0000 0.0000 0.0000
8 Al 0.0000 0.0000 0.5000
9 Sn 0.3333 0.6667 0.7500
10 Sn 0.6667 0.3333 0.2500

Properties
symmetry = P6_3/mmc
total magnetization = 0.0 μB/f.u.
E above lowest polymorph = 0 kJ/mol of formula units
E_form = -84.5 meV/atom
final energy = -6.7624 eV per atom

---

Below is a relaxed structure of BeNbW, with properties calculated at the PBE level.

a b c (Å): 9.2520 8.5952 4.8542
angles (deg): 81.84 66.87 31.29
Fractional coordinates of all 12 atoms:
1 Be 0.0003 0.0003 0.2497
2 Be 0.9997 0.9997 0.7503
3 Be 0.2497 0.2497 0.0003
4 Be 0.7503 0.7503 0.9997
5 Nb 0.2928 0.2928 0.4572
6 Nb 0.4572 0.4572 0.2928
7 Nb 0.5428 0.5428 0.7072
8 Nb 0.7072 0.7072 0.5428
9 W 0.0441 0.7059 0.0441
10 W 0.2941 0.9559 0.2941
11 W 0.7059 0.0441 0.7059
12 W 0.9559 0.2941 0.9559

Properties
symmetry = Fddd
total magnetization = 0.0 μB/f.u.
E_form = -119.7 meV/atom
final energy = -9.0361 eV per atom

---

Below is a relaxed structure of La10In2Co3, with properties calculated at the PBE level.

a b c (Å): 12.9348 12.9348 10.4546
angles (deg): 110.28 110.28 34.23
Fractional coordinates of all 30 atoms:
1 La 0.0000 0.5000 0.5000
2 La 0.0147 0.0147 0.6779
3 La 0.1059 0.5863 0.0200
4 La 0.1308 0.1308 0.2414
5 La 0.1700 0.6054 0.4565
6 La 0.2368 0.2368 0.7971
7 La 0.2453 0.7547 0.0000
8 La 0.3946 0.8300 0.5435
9 La 0.4137 0.8941 0.9800
10 La 0.4863 0.4863 0.2712
11 La 0.5000 0.0000 0.5000
12 La 0.5137 0.5137 0.7288
13 La 0.5863 0.1059 0.0200
14 La 0.6054 0.1700 0.4565
15 La 0.7547 0.2453 0.0000
16 La 0.7632 0.7632 0.2029
17 La 0.8300 0.3946 0.5435
18 La 0.8692 0.8692 0.7586
19 La 0.8941 0.4137 0.9800
20 La 0.9853 0.9853 0.3221
21 In 0.2683 0.2683 0.2004
22 In 0.3724 0.3724 0.7533
23 In 0.6276 0.6276 0.2467
24 In 0.7317 0.7317 0.7996
25 Co 0.0769 0.0769 0.9599
26 Co 0.1758 0.1758 0.5212
27 Co 0.3149 0.6851 0.5000
28 Co 0.6851 0.3149 0.5000
29 Co 0.8242 0.8242 0.4788
30 Co 0.9231 0.9231 0.0401

Properties
symmetry = C2/m
total magnetization = 0.0 μB/f.u.
E_form = -208.7 meV/atom
final energy = -5.2800 eV per atom